Entry 1:
## GaGePt2Pb (PBE)

Data for a relaxed structure of GaGePt2Pb.

## Properties
E_tot: -21.524 eV/cell
ρ: 9.99 g/cm3
Formation energy from the elements: 1.91 eV per formula unit

Unit cell a=4.7102 b=5.5417 c=4.7102 alpha=90.00 beta=90.00 gamma=90.00
With the nearest neighbours (Å) after each atom.
Fractional coordinates of all 5 atoms:
Pb: 0.0000 0.5000 0.0000  2 Ge 2.77
Ge: 0.0000 0.0000 0.0000  4 Pt 2.36
Ga: 0.5000 0.5000 0.5000  4 Pb 3.33, 8 Pt 3.64
Pt: 0.0000 0.0000 0.5000  2 Ge 2.36
Pt: 0.5000 0.0000 0.0000  2 Ge 2.36

---

Entry 2:
## GaGe2RuPb (PBE)

Data for a relaxed structure of GaGe2RuPb.

## Properties
E_tot: -24.136 eV/cell
ρ: 6.79 g/cm3
Formation energy from the elements: 1.11 eV per formula unit

Unit cell a=4.9994 b=5.1219 c=4.9994 alpha=90.00 beta=90.00 gamma=90.00
With the nearest neighbours (Å) after each atom.
Fractional coordinates of all 5 atoms:
Pb: 0.5000 0.5000 0.5000  4 Ga 3.54, 8 Ge 3.58
Ru: 0.0000 0.0000 0.0000  4 Ge 2.50, 2 Ga 2.56
Ge: 0.0000 0.0000 0.5000  2 Ru 2.50
Ge: 0.5000 0.0000 0.0000  2 Ru 2.50
Ga: 0.0000 0.5000 0.0000  2 Ru 2.56

---

Entry 3:
## Ga4GePb4S12 (PBE)

Data for a relaxed structure of Ga4GePb4S12.

## Properties
E_tot: -187.087 eV/cell
Formation energy from raw total energies: -0.59 eV/atom
ρ: 4.99 g/cm3

Unit cell a=12.9096 b=12.9096 c=6.2550 alpha=90.00 beta=90.00 gamma=90.00
With the nearest neighbours (Å) after each atom.
Fractional coordinates of all 42 atoms:
Ga: 0.2638 0.6476 0.4583  4 S 2.29-2.31
Ga: 0.7638 0.8524 0.0417  4 S 2.29-2.31
Ga: 0.7362 0.3524 0.4583  4 S 2.29-2.31
Ga: 0.2362 0.1476 0.0417  4 S 2.29-2.31
Ga: 0.3524 0.2638 0.5417  4 S 2.29-2.31
Ga: 0.1476 0.7638 0.9583  4 S 2.29-2.31
Ga: 0.6476 0.7362 0.5417  4 S 2.29-2.31
Ga: 0.8524 0.2362 0.9583  4 S 2.29-2.31
Ge: 0.5000 0.5000 0.5000  4 S 2.25
Ge: 0.0000 0.0000 0.0000  4 S 2.25
Pb: 0.4929 0.8169 0.0969  4 S 2.82-3.15
Pb: 0.9929 0.6831 0.4031  4 S 2.82-3.15
Pb: 0.5071 0.1831 0.0969  4 S 2.82-3.15
Pb: 0.0071 0.3169 0.4031  4 S 2.82-3.15
Pb: 0.1831 0.4929 0.9031  4 S 2.82-3.15
Pb: 0.3169 0.9929 0.5969  4 S 2.82-3.15
Pb: 0.8169 0.5071 0.9031  4 S 2.82-3.15
Pb: 0.6831 0.0071 0.5969  4 S 2.82-3.15
S: 0.1397 0.5192 0.4641  1 Ga 2.30
S: 0.6397 0.9808 0.0359  1 Ga 2.30
S: 0.8603 0.4808 0.4641  1 Ga 2.30
S: 0.3603 0.0192 0.0359  1 Ga 2.30
S: 0.4808 0.1397 0.5359  1 Ga 2.30
S: 0.0192 0.6397 0.9641  1 Ga 2.30
S: 0.5192 0.8603 0.5359  1 Ga 2.30
S: 0.9808 0.3603 0.9641  1 Ga 2.30
S: 0.4077 0.5974 0.2711  1 Ge 2.25, 1 Ga 2.29
S: 0.9077 0.9026 0.2289  1 Ge 2.25, 1 Ga 2.29
S: 0.5923 0.4026 0.2711  1 Ge 2.25, 1 Ga 2.29
S: 0.0923 0.0974 0.2289  1 Ge 2.25, 1 Ga 2.29
S: 0.4026 0.4077 0.7289  1 Ge 2.25, 1 Ga 2.29
S: 0.0974 0.9077 0.7711  1 Ge 2.25, 1 Ga 2.29
S: 0.5974 0.5923 0.7289  1 Ge 2.25, 1 Ga 2.29
S: 0.9026 0.0923 0.7711  1 Ge 2.25, 1 Ga 2.29
S: 0.1884 0.7938 0.3124  2 Ga 2.31
S: 0.6884 0.7062 0.1876  2 Ga 2.31
S: 0.8116 0.2062 0.3124  2 Ga 2.31
S: 0.3116 0.2938 0.1876  2 Ga 2.31
S: 0.2062 0.1884 0.6876  2 Ga 2.31
S: 0.2938 0.6884 0.8124  2 Ga 2.31
S: 0.7938 0.8116 0.6876  2 Ga 2.31
S: 0.7062 0.3116 0.8124  2 Ga 2.31

---

Entry 4:
## Ga2GePbS6 (PBE)

Data for a relaxed structure of Ga2GePbS6.

## Properties
E_tot: -86.697 eV/cell
Formation energy from raw total energies: -0.42 eV/atom
ρ: 4.04 g/cm3

Unit cell a=7.2729 b=8.7670 c=8.7670 alpha=83.55 beta=71.61 gamma=71.61
With the nearest neighbours (Å) after each atom.
Fractional coordinates of all 20 atoms:
Ga: 0.3345 0.7463 0.6236  4 S 2.25-2.41
Ga: 0.1655 0.3764 0.2537  4 S 2.25-2.41
Ga: 0.6655 0.2537 0.3764  4 S 2.25-2.41
Ga: 0.8345 0.6236 0.7463  4 S 2.25-2.41
Ge: 0.2500 0.1855 0.8145  4 S 2.24-2.28
Ge: 0.7500 0.8145 0.1855  4 S 2.24-2.28
Pb: 0.2500 0.8465 0.1535  6 S 2.95-3.12
Pb: 0.7500 0.1535 0.8465  6 S 2.95-3.12
S: 0.1689 0.9531 0.8231  1 Ge 2.28, 1 Ga 2.41
S: 0.3311 0.1769 0.0469  1 Ge 2.28, 1 Ga 2.41
S: 0.8311 0.0469 0.1769  1 Ge 2.28, 1 Ga 2.41
S: 0.6689 0.8231 0.9531  1 Ge 2.28, 1 Ga 2.41
S: 0.4566 0.8783 0.3829  1 Ge 2.24, 1 Ga 2.34
S: 0.0434 0.6171 0.1217  1 Ge 2.24, 1 Ga 2.34
S: 0.5434 0.1217 0.6171  1 Ge 2.24, 1 Ga 2.34
S: 0.9566 0.3829 0.8783  1 Ge 2.24, 1 Ga 2.34
S: 0.0593 0.7250 0.5594  2 Ga 2.25-2.31
S: 0.4407 0.4406 0.2750  2 Ga 2.25-2.31
S: 0.9407 0.2750 0.4406  2 Ga 2.25-2.31
S: 0.5593 0.5594 0.7250  2 Ga 2.25-2.31

---

What is the ρ in the third record?
4.99 g/cm3